Entry w
Density functional theory data (PBE) for a relaxed Sc2ZnCu3 crystal.

Cell and atoms, written as POSCAR:
```
Sc2ZnCu3
1.0
5.142 0.000 0.000
-2.571 4.453 0.000
0.000 0.000 8.166
Sc Zn Cu
4 2 6
direct
0.333 0.667 0.058
0.333 0.667 0.442
0.667 0.333 0.558
0.667 0.333 0.942
0.000 0.000 0.000
0.000 0.000 0.500
0.170 0.340 0.750
0.170 0.830 0.750
0.340 0.170 0.250
0.660 0.830 0.750
0.830 0.170 0.250
0.830 0.660 0.250
```

Fermi-level density of states, states/eV/cell: 7.27

***

Entry x
Density functional theory data (PBE) for a relaxed Sc2ZnCu3 crystal.

Cell and atoms, written as POSCAR:
```
Sc2ZnCu3
1.0
0.000 4.293 7.422
3.032 0.000 7.422
3.032 4.293 0.000
Sc Zn Cu
4 2 6
direct
0.247 0.753 0.753
0.250 0.250 0.250
0.750 0.750 0.750
0.753 0.247 0.247
0.333 0.333 0.667
0.667 0.667 0.333
0.166 0.166 0.834
0.167 0.667 0.333
0.333 0.833 0.167
0.667 0.167 0.833
0.833 0.333 0.667
0.834 0.834 0.166
```

Fermi-level density of states, states/eV/cell: 8.33

***

Which of them is most stable? Easy: entry w.

***

Entry w
Density functional theory data (PBE) for a relaxed ScZn2Cu4 crystal.

Cell and atoms, written as POSCAR:
```
ScZn2Cu4
1.0
7.991 0.000 0.000
0.000 6.296 0.000
-2.946 0.000 3.936
Sc Zn Cu
2 4 8
direct
0.000 0.000 0.000
0.500 0.500 0.000
0.002 0.500 0.753
0.498 0.000 0.247
0.502 0.000 0.753
0.998 0.500 0.247
0.192 0.194 0.691
0.192 0.806 0.691
0.308 0.306 0.309
0.308 0.694 0.309
0.692 0.306 0.691
0.692 0.694 0.691
0.808 0.194 0.309
0.808 0.806 0.309
```

Fermi-level density of states, states/eV/cell: 5.67

***

Entry x
Density functional theory data (PBE) for a relaxed ScZn2Cu4 crystal.

Cell and atoms, written as POSCAR:
```
ScZn2Cu4
1.0
7.406 0.000 0.000
0.000 7.406 0.000
0.000 0.000 4.893
Sc Zn Cu
2 4 8
direct
0.000 0.000 0.000
0.500 0.500 0.500
0.000 0.500 0.250
0.000 0.500 0.750
0.500 0.000 0.250
0.500 0.000 0.750
0.000 0.221 0.500
0.000 0.779 0.500
0.221 0.000 0.500
0.279 0.500 0.000
0.500 0.279 0.000
0.500 0.721 0.000
0.721 0.500 0.000
0.779 0.000 0.500
```

Fermi-level density of states, states/eV/cell: 8.08

***

Which of them is most stable? Easy: entry w.

***

Entry w
Density functional theory data (PBE) for a relaxed ScZn4Cu crystal.

Cell and atoms, written as POSCAR:
```
ScZn4Cu
1.0
0.000 3.612 3.612
3.612 0.000 3.612
3.612 3.612 0.000
Sc Zn Cu
1 4 1
direct
0.000 0.000 0.000
0.125 0.625 0.625
0.625 0.125 0.625
0.625 0.625 0.125
0.625 0.625 0.625
0.250 0.250 0.250
```

Fermi-level density of states, states/eV/cell: 3.61

***

Entry x
Density functional theory data (PBE) for a relaxed ScZn4Cu crystal.

Cell and atoms, written as POSCAR:
```
ScZn4Cu
1.0
7.529 0.000 0.000
0.000 3.780 0.000
0.000 0.000 6.712
Sc Zn Cu
2 8 2
direct
0.250 0.000 0.119
0.750 0.000 0.881
0.000 0.000 0.500
0.048 0.500 0.815
0.250 0.500 0.440
0.452 0.500 0.815
0.500 0.000 0.500
0.548 0.500 0.185
0.750 0.500 0.560
0.952 0.500 0.185
0.250 0.000 0.718
0.750 0.000 0.282
```

Fermi-level density of states, states/eV/cell: 5.01

***

Which of them is most stable? Easy: entry x.

***

Entry w
Density functional theory data (PBE) for a relaxed Sc4ZnCu2 crystal.

Cell and atoms, written as POSCAR:
```
Sc4ZnCu2
1.0
2.305 1.331 7.403
-2.305 1.331 7.403
0.000 -2.661 7.403
Sc Zn Cu
4 1 2
direct
0.118 0.118 0.118
0.371 0.371 0.371
0.629 0.629 0.629
0.882 0.882 0.882
0.500 0.500 0.500
0.245 0.245 0.245
0.755 0.755 0.755
```

Fermi-level density of states, states/eV/cell: 5.78

***

Entry x
Density functional theory data (PBE) for a relaxed Sc4ZnCu2 crystal.

Cell and atoms, written as POSCAR:
```
Sc4ZnCu2
1.0
2.268 1.309 8.198
-2.268 1.309 8.198
0.000 -2.619 8.198
Sc Zn Cu
4 1 2
direct
0.120 0.120 0.120
0.294 0.294 0.294
0.706 0.706 0.706
0.880 0.880 0.880
0.500 0.500 0.500
0.403 0.403 0.403
0.597 0.597 0.597
```

Fermi-level density of states, states/eV/cell: 8.85

***

Which of them is most stable? Easy: entry w.

***

Entry w
Density functional theory data (PBE) for a relaxed ZrScCu4 crystal.

Cell and atoms, written as POSCAR:
```
ZrScCu4
1.0
3.302 0.000 0.000
0.000 3.302 0.000
0.000 0.000 8.496
Zr Sc Cu
1 1 4
direct
0.000 0.000 0.000
0.500 0.500 0.500
0.000 0.000 0.328
0.000 0.000 0.672
0.500 0.500 0.181
0.500 0.500 0.819
```

Fermi-level density of states, states/eV/cell: 3.05

***

Entry x
Density functional theory data (PBE) for a relaxed ZrScCu4 crystal.

Cell and atoms, written as POSCAR:
```
ZrScCu4
1.0
0.000 3.577 3.577
3.577 0.000 3.577
3.577 3.577 0.000
Zr Sc Cu
1 1 4
direct
0.000 0.000 0.000
0.750 0.750 0.750
0.375 0.375 0.375
0.375 0.375 0.875
0.375 0.875 0.375
0.875 0.375 0.375
```

Fermi-level density of states, states/eV/cell: 6.40

***

Which of them is most stable? Easy: entry w.

***

Entry w
Density functional theory data (PBE) for a relaxed ZrSc2Cu crystal.

Cell and atoms, written as POSCAR:
```
ZrSc2Cu
1.0
6.863 0.000 0.000
0.000 6.863 0.000
0.000 0.000 6.863
Zr Sc Cu
4 8 4
direct
0.000 0.000 0.000
0.000 0.500 0.500
0.500 0.000 0.500
0.500 0.500 0.000
0.000 0.000 0.500
0.000 0.500 0.000
0.250 0.250 0.750
0.250 0.750 0.250
0.500 0.000 0.000
0.500 0.500 0.500
0.750 0.250 0.250
0.750 0.750 0.750
0.250 0.250 0.250
0.250 0.750 0.750
0.750 0.250 0.750
0.750 0.750 0.250
```

Fermi-level density of states, states/eV/cell: 25.11

***

Entry x
Density functional theory data (PBE) for a relaxed ZrSc2Cu crystal.

Cell and atoms, written as POSCAR:
```
ZrSc2Cu
1.0
3.297 0.000 0.000
-1.648 2.855 0.000
0.000 0.000 27.347
Zr Sc Cu
3 6 3
direct
0.000 0.000 0.000
0.333 0.667 0.667
0.667 0.333 0.333
0.000 0.000 0.240
0.000 0.000 0.428
0.333 0.667 0.094
0.333 0.667 0.907
0.667 0.333 0.574
0.667 0.333 0.761
0.000 0.000 0.835
0.333 0.667 0.501
0.667 0.333 0.168
```

Fermi-level density of states, states/eV/cell: 17.81

***

Which of them is most stable? Easy: entry x.

***

Entry w
Density functional theory data (PBE) for a relaxed ZrSc2Cu crystal.

Cell and atoms, written as POSCAR:
```
ZrSc2Cu
1.0
4.282 0.000 0.000
0.000 4.282 0.000
0.000 0.000 8.832
Zr Sc Cu
2 4 2
direct
0.000 0.000 0.000
0.500 0.500 0.500
0.000 0.500 0.250
0.000 0.500 0.750
0.500 0.000 0.250
0.500 0.000 0.750
0.000 0.000 0.500
0.500 0.500 0.000
```

Fermi-level density of states, states/eV/cell: 13.59

***

Entry x
Density functional theory data (PBE) for a relaxed ZrSc2Cu crystal.

Cell and atoms, written as POSCAR:
```
ZrSc2Cu
1.0
6.896 0.000 0.000
0.000 6.896 0.000
0.000 0.000 6.896
Zr Sc Cu
4 8 4
direct
0.000 0.000 0.000
0.000 0.500 0.500
0.500 0.000 0.500
0.500 0.500 0.000
0.250 0.250 0.250
0.250 0.250 0.750
0.250 0.750 0.250
0.250 0.750 0.750
0.750 0.250 0.250
0.750 0.250 0.750
0.750 0.750 0.250
0.750 0.750 0.750
0.000 0.000 0.500
0.000 0.500 0.000
0.500 0.000 0.000
0.500 0.500 0.500
```

Fermi-level density of states, states/eV/cell: 19.86

***

Which of them is most stable? Easy: entry w.

***

Entry w
Density functional theory data (PBE) for a relaxed ZrSc2Cu crystal.

Cell and atoms, written as POSCAR:
```
ZrSc2Cu
1.0
4.982 0.000 0.000
0.000 4.982 0.000
0.000 0.000 3.297
Zr Sc Cu
1 2 1
direct
0.000 0.000 0.000
0.000 0.500 0.500
0.500 0.000 0.500
0.500 0.500 0.000
```

Fermi-level density of states, states/eV/cell: 6.15

***

Entry x
Density functional theory data (PBE) for a relaxed ZrSc2Cu crystal.

Cell and atoms, written as POSCAR:
```
ZrSc2Cu
1.0
3.223 0.000 0.000
0.000 3.223 0.000
0.000 0.000 8.052
Zr Sc Cu
1 2 1
direct
0.000 0.000 0.000
0.000 0.000 0.421
0.500 0.500 0.731
0.500 0.500 0.223
```

Fermi-level density of states, states/eV/cell: 4.31

***

Which of them is most stable? Easy: entry x.